Entry 1:
First-principles (PBE) data for an optimized crystal structure of TiVOsW, as listed in Alexandria via LeMat-Bulk.

Results
**Calculated volume**: 59.30 Å³/cell
**Calculated total energy**: -10.600 eV/atom
**Space-group type**: F-43m, No. 216
**Energy of formation from the pure elements**: -0.301 eV per atom
**DOS(E_F)**: 3.3 states/eV per cell
**Distance to the lowest polymorph of the same formula**: 6 meV per atom

The structure in CIF format:
```
data_TiVOsW
_chemical_formula_sum 'Ti1 V1 Os1 W1'
_cell_length_a 4.3772
_cell_length_b 4.3772
_cell_length_c 4.3772
_cell_angle_alpha 60.00
_cell_angle_beta 60.00
_cell_angle_gamma 60.00
_symmetry_space_group_name_H-M 'P 1'
_symmetry_Int_Tables_number 1
_symmetry_space_group_name_Hall 'P 1'
loop_
_atom_site_label
_atom_site_fract_x
_atom_site_fract_y
_atom_site_fract_z
Ti1 0.0000 0.0000 0.0000
V1 0.2500 0.2500 0.2500
Os1 0.7500 0.7500 0.7500
W1 0.5000 0.5000 0.5000
```

Entry 2:
First-principles (PBE) data for an optimized crystal structure of Ho7Er2Al2, as listed in Alexandria via LeMat-Bulk.

Results
**Calculated volume**: 327.00 Å³/cell
**Calculated total energy**: -4.366 eV/atom
**Space-group type**: C2/m, No. 12
**Energy of formation from the pure elements**: 0.057 eV per atom
**DOS(E_F)**: 14.6 states/eV per cell

The structure in CIF format:
```
data_Ho7Er2Al2
_chemical_formula_sum 'Ho7 Er2 Al2'
_cell_length_a 7.7563
_cell_length_b 7.7563
_cell_length_c 5.6994
_cell_angle_alpha 94.81
_cell_angle_beta 94.81
_cell_angle_gamma 73.53
_symmetry_space_group_name_H-M 'P 1'
_symmetry_Int_Tables_number 1
_symmetry_space_group_name_Hall 'P 1'
loop_
_atom_site_label
_atom_site_fract_x
_atom_site_fract_y
_atom_site_fract_z
Ho1 0.0000 0.0000 0.0000
Ho2 0.0846 0.4244 0.2533
Ho3 0.4180 0.4180 0.7536
Ho4 0.4244 0.0846 0.2533
Ho5 0.5756 0.9154 0.7467
Ho6 0.5820 0.5820 0.2464
Ho7 0.9154 0.5756 0.7467
Er1 0.1898 0.8102 0.5000
Er2 0.8102 0.1898 0.5000
Al1 0.1863 0.1863 0.7027
Al2 0.8137 0.8137 0.2973
```

Entry 3:
First-principles (PBE) data for an optimized crystal structure of NaPu2ScSe4, as listed in Alexandria via LeMat-Bulk.

Results
**Calculated volume**: 193.83 Å³/cell
**Calculated total energy**: -7.748 eV/atom
**Space-group type**: P2/m, No. 10
**DOS(E_F)**: 25.1 states/eV per cell

The structure in CIF format:
```
data_NaPu2ScSe4
_chemical_formula_sum 'Na1 Pu2 Sc1 Se4'
_cell_length_a 6.9897
_cell_length_b 4.0911
_cell_length_c 7.1972
_cell_angle_alpha 90.00
_cell_angle_beta 109.65
_cell_angle_gamma 90.00
_symmetry_space_group_name_H-M 'P 1'
_symmetry_Int_Tables_number 1
_symmetry_space_group_name_Hall 'P 1'
loop_
_atom_site_label
_atom_site_fract_x
_atom_site_fract_y
_atom_site_fract_z
Na1 0.0000 0.0000 0.0000
Pu1 0.5000 0.0000 0.5000
Pu2 0.5000 0.5000 0.0000
Sc1 0.0000 0.5000 0.5000
Se1 0.2358 0.0000 0.7384
Se2 0.2418 0.5000 0.2600
Se3 0.7582 0.5000 0.7400
Se4 0.7642 0.0000 0.2616
```